[1]
# Zr2TiSn, optimized geometry, DFT GGA-PBE
# E_form in kcal/mol of atoms: -4.1
data_Zr2TiSn
_cell_length_a 4.366
_cell_length_b 4.480
_cell_length_c 8.852
_cell_angle_alpha 90.00
_cell_angle_beta 90.00
_cell_angle_gamma 90.00
_space_group_name_H-M_alt 'C m m m'
_space_group_IT_number 65
_space_group_name_Hall '-C 2 2'
loop_
_atom_site_label
_atom_site_type_symbol
_atom_site_fract_x
_atom_site_fract_y
_atom_site_fract_z
_atom_site_occupancy
Zr1 Zr 0.000 0.000 0.234 1
Ti1 Ti 0.000 0.500 0.000 1
Sn1 Sn 0.000 0.500 0.500 1

---

[2]
# ZrTiSn4, optimized geometry, DFT GGA-PBE
# E_form in kcal/mol of atoms: -4.8
data_ZrTiSn4
_cell_length_a 6.885
_cell_length_b 6.885
_cell_length_c 12.226
_cell_angle_alpha 90.00
_cell_angle_beta 90.00
_cell_angle_gamma 90.00
_space_group_name_H-M_alt 'I 4/m c m'
_space_group_IT_number 140
_space_group_name_Hall '-I 4 2c'
loop_
_atom_site_label
_atom_site_type_symbol
_atom_site_fract_x
_atom_site_fract_y
_atom_site_fract_z
_atom_site_occupancy
Zr1 Zr 0.000 0.000 0.250 1
Ti1 Ti 0.000 0.000 0.000 1
Sn1 Sn 0.160 0.340 0.121 1

---

[3]
# ZrTiSn2, optimized geometry, DFT GGA-PBE
# Energy above the most stable polymorph in this dataset in kJ/mol of formula units: 33
# E_form in kcal/mol of atoms: -4.7
data_ZrTiSn2
_cell_length_a 3.2228
_cell_length_b 3.2228
_cell_length_c 28.8252
_cell_angle_alpha 90.00
_cell_angle_beta 90.00
_cell_angle_gamma 120.00
_space_group_name_H-M_alt 'R -3 m'
_space_group_IT_number 166
_space_group_name_Hall '-R 3 2"'
loop_
_atom_site_label
_atom_site_type_symbol
_atom_site_fract_x
_atom_site_fract_y
_atom_site_fract_z
_atom_site_occupancy
Zr1 Zr 0.0000 0.0000 0.0000 1
Ti1 Ti 0.0000 0.0000 0.5000 1
Sn1 Sn 0.0000 0.0000 0.2463 1

---

[4]
# ZrTi3Sn3, optimized geometry, DFT GGA-PBE
# Energy above the most stable polymorph in this dataset in kJ/mol of formula units: 0
# E_form in kcal/mol of atoms: -7.2
data_ZrTi3Sn3
_cell_length_a 10.097
_cell_length_b 4.016
_cell_length_c 13.918
_cell_angle_alpha 90.00
_cell_angle_beta 96.57
_cell_angle_gamma 90.00
_space_group_name_H-M_alt 'C 1 2/m 1'
_space_group_IT_number 12
loop_
_space_group_symop_operation_xyz
'x,y,z'
'-x,-y,-z'
'-x,y,-z'
'x,-y,z'
'x+1/2,y+1/2,z'
'-x+1/2,-y+1/2,-z'
'-x+1/2,y+1/2,-z'
'x+1/2,-y+1/2,z'
loop_
_atom_site_label
_atom_site_type_symbol
_atom_site_fract_x
_atom_site_fract_y
_atom_site_fract_z
_atom_site_occupancy
Zr1 Zr 0.000 0.000 0.000 1
Zr2 Zr 0.000 0.000 0.500 1
Ti1 Ti 0.089 0.500 0.354 1
Ti2 Ti 0.129 0.000 0.724 1
Ti3 Ti 0.212 0.500 0.073 1
Sn1 Sn 0.085 0.500 0.866 1
Sn2 Sn 0.146 0.000 0.214 1
Sn3 Sn 0.201 0.500 0.582 1

---

[5]
# Zr2TiSn, optimized geometry, DFT GGA-PBE
# E_form in kcal/mol of atoms: -7.2
data_Zr2TiSn
_cell_length_a 4.357
_cell_length_b 4.357
_cell_length_c 4.413
_cell_angle_alpha 90.00
_cell_angle_beta 90.00
_cell_angle_gamma 90.00
_space_group_name_H-M_alt 'P 4/m m m'
_space_group_IT_number 123
_space_group_name_Hall '-P 4 2'
loop_
_atom_site_label
_atom_site_type_symbol
_atom_site_fract_x
_atom_site_fract_y
_atom_site_fract_z
_atom_site_occupancy
Zr1 Zr 0.000 0.500 0.000 1
Ti1 Ti 0.000 0.000 0.500 1
Sn1 Sn 0.500 0.500 0.500 1

---

[6]
# ZrTi5Sn3, optimized geometry, DFT GGA-PBE
# Energy above the most stable polymorph in this dataset in kJ/mol of formula units: 0
# E_form in kcal/mol of atoms: -8.1
data_ZrTi5Sn3
_cell_length_a 8.3003
_cell_length_b 8.3003
_cell_length_c 5.7226
_cell_angle_alpha 90.00
_cell_angle_beta 90.00
_cell_angle_gamma 120.00
_space_group_name_H-M_alt 'P 63/m c m'
_space_group_IT_number 193
_space_group_name_Hall '-P 6c 2'
loop_
_atom_site_label
_atom_site_type_symbol
_atom_site_fract_x
_atom_site_fract_y
_atom_site_fract_z
_atom_site_occupancy
Zr1 Zr 0.0000 0.0000 0.0000 1
Ti1 Ti 0.0000 0.3350 0.2500 1
Ti2 Ti 0.3333 0.6667 0.0000 1
Sn1 Sn 0.0000 0.3372 0.7500 1

---

[7]
# ZrTi5Sn3, optimized geometry, DFT GGA-PBE
# Energy above the most stable polymorph in this dataset in kJ/mol of formula units: 404
# E_form in kcal/mol of atoms: 2.6
data_ZrTi5Sn3
_cell_length_a 6.808
_cell_length_b 6.808
_cell_length_c 15.882
_cell_angle_alpha 90.00
_cell_angle_beta 90.00
_cell_angle_gamma 90.00
_space_group_name_H-M_alt 'I 4/m c m'
_space_group_IT_number 140
_space_group_name_Hall '-I 4 2c'
loop_
_atom_site_label
_atom_site_type_symbol
_atom_site_fract_x
_atom_site_fract_y
_atom_site_fract_z
_atom_site_occupancy
Zr1 Zr 0.000 0.500 0.250 1
Ti1 Ti 0.000 0.000 0.000 1
Ti2 Ti 0.183 0.317 0.128 1
Sn1 Sn 0.000 0.000 0.250 1
Sn2 Sn 0.137 0.363 0.500 1

---

[8]
# Zr2Ti8Sn3, optimized geometry, DFT GGA-PBE
# E_form in kcal/mol of atoms: 1.3
data_Zr2Ti8Sn3
_cell_length_a 5.4440
_cell_length_b 5.4440
_cell_length_c 30.1630
_cell_angle_alpha 90.00
_cell_angle_beta 90.00
_cell_angle_gamma 120.00
_space_group_name_H-M_alt 'R -3 m'
_space_group_IT_number 166
_space_group_name_Hall '-R 3 2"'
loop_
_atom_site_label
_atom_site_type_symbol
_atom_site_fract_x
_atom_site_fract_y
_atom_site_fract_z
_atom_site_occupancy
Zr1 Zr 0.0000 0.0000 0.1400 1
Ti1 Ti 0.0000 0.0000 0.2239 1
Ti2 Ti 0.0078 0.5039 0.7266 1
Sn1 Sn 0.0000 0.0000 0.3131 1
Sn2 Sn 0.0000 0.0000 0.5000 1